TaIBr4: optimized geometry, PBE.

Results
- E_tot: -4.1529 eV/atom
- Density: 5.0 g/cm³

Lattice parameters (Å, degrees): 6.7494 7.3046 10.0528 108.36 91.87 114.46
Fractional positions:
Ta (0.1098, 0.2261, 0.2280)
Ta (0.8902, 0.7739, 0.7720)
I (0.2536, 0.1903, 0.9527)
I (0.7464, 0.8097, 0.0473)
Br (0.0696, 0.8136, 0.5691)
Br (0.1139, 0.6134, 0.8460)
Br (0.3085, 0.0141, 0.2534)
Br (0.4391, 0.5721, 0.3338)
Br (0.5609, 0.4279, 0.6662)
Br (0.6915, 0.9859, 0.7466)
Br (0.8861, 0.3866, 0.1540)
Br (0.9304, 0.1864, 0.4309)